# TaCr (GGA-PBE, relaxed)
# E_form in eV/atom: 0.97
# Total magnetic moment in μB per atom: 0.0001
# Crystal system: cubic
# VASP energy in eV/atom: -9.764
data_TaCr
_symmetry_space_group_name_H-M 'F m -3 m'
_symmetry_Int_Tables_number 225
_symmetry_space_group_name_Hall '-F 4 2 3'
_cell_length_a 5.088
_cell_length_b 5.088
_cell_length_c 5.088
_cell_angle_alpha 90.00
_cell_angle_beta 90.00
_cell_angle_gamma 90.00
loop_
_atom_site_label
_atom_site_type_symbol
_atom_site_fract_x
_atom_site_fract_y
_atom_site_fract_z
Ta1 Ta 0.000 0.000 0.000
Cr1 Cr 0.000 0.000 0.500